LiAcCdGa: relaxed, PBE-GGA.

**Energy of formation**: -103 kJ/mol of formula units
**Theoretical density**: 7.0 g/cm³
**M_tot**: 0.0 Bohr magnetons per cell

Unit cell a=5.1831 b=5.1831 c=5.1831 alpha=60.00 beta=60.00 gamma=60.00
With the nearest neighbours (Å) after each atom.
Fractional coordinates of all 4 atoms:
Li (0.0000, 0.0000, 0.0000)  4 Cd 3.17, 4 Ac 3.17
Ac (0.2500, 0.2500, 0.2500)  4 Ga 3.17, 4 Li 3.17
Cd (0.7500, 0.7500, 0.7500)  4 Ga 3.17, 4 Li 3.17
Ga (0.5000, 0.5000, 0.5000)  4 Cd 3.17, 4 Ac 3.17



DySnIr: relaxed, PBE-GGA.

**Energy of formation**: -229 kJ/mol of formula units
**Theoretical density**: 12.1 g/cm³
**M_tot**: 0.0 Bohr magnetons per cell

Unit cell a=7.3584 b=4.2913 c=12.3287 alpha=90.00 beta=91.63 gamma=90.00
With the nearest neighbours (Å) after each atom.
Fractional coordinates of all 18 atoms:
Dy (0.0319, 0.2500, 0.1222)  5 Ir 3.05-3.10, 4 Sn 3.25-3.31
Dy (0.1468, 0.2500, 0.4191)  5 Ir 3.00-3.09, 5 Sn 3.31-3.35
Dy (0.4614, 0.7500, 0.7903)  5 Ir 2.86-3.16
Dy (0.5386, 0.2500, 0.2097)  5 Ir 2.86-3.16
Dy (0.8532, 0.7500, 0.5809)  5 Ir 3.00-3.09, 5 Sn 3.31-3.35
Dy (0.9681, 0.7500, 0.8778)  5 Ir 3.05-3.10, 4 Sn 3.25-3.31
Sn (0.1290, 0.2500, 0.7074)  4 Ir 2.73-2.80
Sn (0.3460, 0.7500, 0.0459)  4 Ir 2.70-2.88
Sn (0.4907, 0.7500, 0.4103)  4 Ir 2.66-2.81
Sn (0.5093, 0.2500, 0.5897)  4 Ir 2.66-2.81
Sn (0.6540, 0.2500, 0.9541)  4 Ir 2.70-2.88
Sn (0.8710, 0.7500, 0.2926)  4 Ir 2.73-2.80
Ir (0.2338, 0.7500, 0.2537)  3 Sn 2.66-2.73
Ir (0.2616, 0.7500, 0.5877)  5 Sn 2.80-2.81, 4 Dy 2.86-3.09
Ir (0.2656, 0.2500, 0.9208)  4 Sn 2.70-2.88
Ir (0.7344, 0.7500, 0.0792)  4 Sn 2.70-2.88
Ir (0.7384, 0.2500, 0.4123)  5 Sn 2.80-2.81, 4 Dy 2.86-3.09
Ir (0.7662, 0.2500, 0.7463)  3 Sn 2.66-2.73